# GGA-PBE K2RbTa, relaxed
data_K2RbTa
_cell_length_a 5.5835
_cell_length_b 5.5835
_cell_length_c 13.9911
_cell_angle_alpha 78.49
_cell_angle_beta 78.49
_cell_angle_gamma 90.00
_symmetry_space_group_name_H-M 'P 1'
_symmetry_Int_Tables_number 1
loop_
_symmetry_equiv_pos_as_xyz
'x,y,z'
loop_
_atom_site_label
_atom_site_type_symbol
_atom_site_fract_x
_atom_site_fract_y
_atom_site_fract_z
K1 K 0.6525 0.1250 0.2500
K2 K 0.8750 0.9025 0.7500
K3 K 0.0975 0.6250 0.2500
K4 K 0.3750 0.3475 0.7500
Rb1 Rb 0.2500 0.7500 0.5000
Rb2 Rb 0.5000 0.5000 0.0000
Ta1 Ta 0.7500 0.2500 0.5000
Ta2 Ta 0.0000 0.0000 0.0000
# Relative energy among the computed polymorphs, meV per atom: 123
# Calculated formation energy, eV per atom: 1.53